The following is a PBE+U calculation of a relaxed Ni3OF5 crystal, from Alexandria.

Values from the calculation:
Calculated volume = 410.57 Å³ per cell
Magnetization = 28.003 μB/cell
DFT total energy = -153.92 eV per cell
Offset from the most stable computed form = 3.4 meV per atom
Density = 4.6 Mg/m³

a b c (Å): 9.0410 6.7119 7.2739
angles (deg): 90.00 111.54 90.00
With the nearest neighbours (Å) after each atom.
Space group C2/m (No. 12)
Symmetry-distinct sites (fractional):
Ni (0.0000, 0.0000, 0.0000)  6 F 2.01-2.03
Ni (0.0000, 0.0000, 0.5000)  6 F 2.03-2.04
Ni (0.1590, 0.5000, 0.1621)  2 O 1.98, 4 F 2.04-2.05
Ni (0.1640, 0.5000, 0.6713)  1 O 1.94, 5 F 2.03-2.04
O (0.0674, 0.5000, 0.8691)  3 Ni 1.94-1.98
F (0.0000, 0.3021, 0.5000)  3 Ni 2.03-2.04
F (0.1047, 0.0000, 0.7987)  3 Ni 2.01-2.05
F (0.1644, 0.1962, 0.1678)  3 Ni 2.03-2.04
F (0.2345, 0.0000, 0.5351)  3 Ni 2.03-2.05